[1]
This record from Alexandria describes crystalline LaDy12Ho5 at its relaxed geometry. The functional is PBE.

The structure in CIF format:
```
data_LaDy12Ho5
_chemical_formula_sum 'La1 Dy12 Ho5'
_symmetry_space_group_name_H-M 'P 1'
_symmetry_Int_Tables_number 1
_symmetry_space_group_name_Hall 'P 1'
_cell_length_a 6.1626
_cell_length_b 6.1626
_cell_length_c 17.3806
_cell_angle_alpha 86.63
_cell_angle_beta 86.63
_cell_angle_gamma 119.98
loop_
_atom_site_label
_atom_site_type_symbol
_atom_site_fract_x
_atom_site_fract_y
_atom_site_fract_z
_atom_site_occupancy
Ho1 Ho 0.6667 0.3333 0.0000 1
Ho2 Ho 0.1663 0.8337 0.5000 1
Ho3 Ho 0.5000 0.5000 0.5000 1
Dy1 Dy 0.0568 0.3918 0.8321 1
Dy2 Dy 0.4452 0.7785 0.6665 1
Dy3 Dy 0.7218 0.7218 0.8321 1
Dy4 Dy 0.8883 0.8883 0.3332 1
Ho4 Ho 0.3333 0.6667 0.0000 1
La1 La 0.0000 0.0000 0.0000 1
Dy5 Dy 0.7785 0.4452 0.6665 1
Dy6 Dy 0.5548 0.2215 0.3335 1
Dy7 Dy 0.6082 0.9432 0.1679 1
Dy8 Dy 0.3918 0.0568 0.8321 1
Dy9 Dy 0.2782 0.2782 0.1679 1
Dy10 Dy 0.9432 0.6082 0.1679 1
Ho5 Ho 0.8337 0.1663 0.5000 1
Dy11 Dy 0.1117 0.1117 0.6668 1
Dy12 Dy 0.2215 0.5548 0.3335 1
```

The value obtained for the formation enthalpy at 0 K is 0.009 eV/atom. The calculation puts the magnetization at 0.000 μB per atom. Its space-group type is C2/m (12). The density of states at the Fermi level is 22.3 states/eV per cell. For the theoretical density, the calculation gives 8.52 Mg/m³.

***

[2]
This record from Alexandria describes crystalline La8DyHo3 at its relaxed geometry. The functional is PBE.

The structure in CIF format:
```
data_La8DyHo3
_chemical_formula_sum 'La8 Dy1 Ho3'
_symmetry_space_group_name_H-M 'P 1'
_symmetry_Int_Tables_number 1
_symmetry_space_group_name_Hall 'P 1'
_cell_length_a 8.5826
_cell_length_b 8.5826
_cell_length_c 8.5825
_cell_angle_alpha 93.72
_cell_angle_beta 117.88
_cell_angle_gamma 117.88
loop_
_atom_site_label
_atom_site_type_symbol
_atom_site_fract_x
_atom_site_fract_y
_atom_site_fract_z
_atom_site_occupancy
Ho1 Ho 0.0000 0.5000 0.5000 1
La1 La 0.0000 0.8732 0.6274 1
Ho2 Ho 0.5000 0.7500 0.2500 1
La2 La 0.0000 0.2503 0.7506 1
La3 La 0.5002 0.7497 0.7497 1
La4 La 0.2457 0.3726 0.3726 1
La5 La 0.0000 0.7506 0.2503 1
Dy1 Dy 0.0000 0.0000 0.0000 1
La6 La 0.0000 0.6274 0.8731 1
La7 La 0.4998 0.2494 0.2494 1
La8 La 0.7543 0.1268 0.1269 1
Ho3 Ho 0.5000 0.2500 0.7500 1
```

The value obtained for the formation enthalpy at 0 K is 0.527 eV/atom. The calculation puts the magnetization at 0.000 μB per atom. Its space-group type is I-42m (121). The density of states at the Fermi level is 20.7 states/eV per cell. For the theoretical density, the calculation gives 6.38 Mg/m³.

***

[3]
This record from Alexandria describes crystalline La2Dy12Ho at its relaxed geometry. The functional is PBE.

The structure in CIF format:
```
data_La2Dy12Ho
_chemical_formula_sum 'La4 Dy24 Ho2'
_symmetry_space_group_name_H-M 'P 1'
_symmetry_Int_Tables_number 1
_symmetry_space_group_name_Hall 'P 1'
_cell_length_a 6.6954
_cell_length_b 6.6954
_cell_length_c 24.8384
_cell_angle_alpha 90.03
_cell_angle_beta 90.03
_cell_angle_gamma 115.92
loop_
_atom_site_label
_atom_site_type_symbol
_atom_site_fract_x
_atom_site_fract_y
_atom_site_fract_z
_atom_site_occupancy
La1 La 0.4999 0.9999 0.7321 1
Dy1 Dy 0.2499 0.2511 0.4379 1
Dy2 Dy 0.2500 0.7500 0.1240 1
Dy3 Dy 0.7489 0.7501 0.5621 1
Dy4 Dy 0.7497 0.7497 0.0767 1
Dy5 Dy 0.2500 0.7500 0.8760 1
Ho1 Ho 0.5000 0.0000 0.0000 1
Dy6 Dy 0.2501 0.2489 0.5621 1
Dy7 Dy 0.2508 0.7508 0.4156 1
Dy8 Dy 0.2497 0.2497 0.0767 1
Dy9 Dy 0.7497 0.2497 0.4156 1
Dy10 Dy 0.7511 0.7499 0.4379 1
Dy11 Dy 0.0002 0.0002 0.3273 1
Dy12 Dy 0.4998 0.4998 0.6727 1
Dy13 Dy 0.2503 0.2503 0.9232 1
Dy14 Dy 0.7500 0.2500 0.8760 1
Dy15 Dy 0.7500 0.2500 0.1240 1
La2 La 0.0001 0.5001 0.2679 1
Dy16 Dy 0.2492 0.7492 0.5844 1
Dy17 Dy 0.7503 0.7503 0.9232 1
La3 La 0.5001 0.0001 0.2677 1
Ho2 Ho 0.0000 0.5000 0.0000 1
Dy18 Dy 0.0000 0.0000 0.1974 1
Dy19 Dy 0.7503 0.2503 0.5844 1
Dy20 Dy 0.5002 0.5002 0.3273 1
Dy21 Dy 0.5000 0.5000 0.8026 1
Dy22 Dy 0.0000 0.0000 0.8026 1
La4 La 0.9999 0.4999 0.7323 1
Dy23 Dy 0.5000 0.5000 0.1974 1
Dy24 Dy 0.9998 0.9998 0.6727 1
```

The value obtained for the formation enthalpy at 0 K is 0.159 eV/atom. The calculation puts the magnetization at 0.000 μB per atom. Its space-group type is C2/m (12). The density of states at the Fermi level is 49.0 states/eV per cell. For the theoretical density, the calculation gives 7.94 Mg/m³.

***

[4]
This record from Alexandria describes crystalline La14DyHo at its relaxed geometry. The functional is PBE.

The structure in CIF format:
```
data_La14DyHo
_chemical_formula_sum 'La14 Dy1 Ho1'
_symmetry_space_group_name_H-M 'P 1'
_symmetry_Int_Tables_number 1
_symmetry_space_group_name_Hall 'P 1'
_cell_length_a 7.1432
_cell_length_b 7.1432
_cell_length_c 11.8508
_cell_angle_alpha 90.00
_cell_angle_beta 90.00
_cell_angle_gamma 72.55
loop_
_atom_site_label
_atom_site_type_symbol
_atom_site_fract_x
_atom_site_fract_y
_atom_site_fract_z
_atom_site_occupancy
Dy1 Dy 0.9049 0.0951 0.0000 1
La1 La 0.1748 0.8252 0.2426 1
La2 La 0.6781 0.8925 0.2557 1
La3 La 0.8154 0.6021 0.5000 1
La4 La 0.3979 0.1846 0.5000 1
La5 La 0.1748 0.8252 0.7574 1
La6 La 0.2924 0.7076 0.5000 1
La7 La 0.3839 0.1495 0.0000 1
La8 La 0.8505 0.6161 0.0000 1
La9 La 0.1075 0.3219 0.2557 1
La10 La 0.8630 0.1370 0.5000 1
La11 La 0.1075 0.3219 0.7443 1
La12 La 0.6781 0.8925 0.7443 1
La13 La 0.6115 0.3885 0.2361 1
Ho1 Ho 0.3484 0.6516 0.0000 1
La14 La 0.6115 0.3885 0.7639 1
```

The value obtained for the formation enthalpy at 0 K is 0.079 eV/atom. The calculation puts the magnetization at 0.000 μB per atom. Its space-group type is Amm2 (38). The density of states at the Fermi level is 27.1 states/eV per cell. For the theoretical density, the calculation gives 6.54 Mg/m³.

***

[5]
This record from Alexandria describes crystalline La3Dy5Ho4 at its relaxed geometry. The functional is PBE.

The structure in CIF format:
```
data_La3Dy5Ho4
_chemical_formula_sum 'La3 Dy5 Ho4'
_symmetry_space_group_name_H-M 'P 1'
_symmetry_Int_Tables_number 1
_symmetry_space_group_name_Hall 'P 1'
_cell_length_a 7.1651
_cell_length_b 11.3354
_cell_length_c 12.9376
_cell_angle_alpha 151.28
_cell_angle_beta 56.55
_cell_angle_gamma 129.06
loop_
_atom_site_label
_atom_site_type_symbol
_atom_site_fract_x
_atom_site_fract_y
_atom_site_fract_z
_atom_site_occupancy
La1 La 0.5853 0.1681 0.3344 1
Ho1 Ho 0.1668 0.3342 0.1663 1
Dy1 Dy 0.5000 0.0000 0.5000 1
Ho2 Ho 0.8332 0.6658 0.8337 1
La2 La 0.0000 0.0000 0.5000 1
Ho3 Ho 0.9184 0.8379 0.6706 1
Dy2 Dy 0.6672 0.3312 0.1639 1
La3 La 0.4147 0.8319 0.6656 1
Dy3 Dy 0.3328 0.6688 0.8361 1
Ho4 Ho 0.0816 0.1621 0.3294 1
Dy4 Dy 0.7477 0.5020 0.0021 1
Dy5 Dy 0.2523 0.4980 0.9979 1
```

The value obtained for the formation enthalpy at 0 K is 0.026 eV/atom. The calculation puts the magnetization at 0.000 μB per atom. The relative energy among the computed polymorphs is 0.0 kJ per mole of atoms. Its space-group type is P-1 (2). The density of states at the Fermi level is 17.2 states/eV per cell. For the theoretical density, the calculation gives 8.00 Mg/m³.

***

[6]
This record from Alexandria describes crystalline LaDy7Ho5 at its relaxed geometry. The functional is PBE.

The structure in CIF format:
```
data_LaDy7Ho5
_chemical_formula_sum 'La1 Dy7 Ho5'
_symmetry_space_group_name_H-M 'P 1'
_symmetry_Int_Tables_number 1
_symmetry_space_group_name_Hall 'P 1'
_cell_length_a 6.6594
_cell_length_b 8.6962
_cell_length_c 8.6962
_cell_angle_alpha 79.75
_cell_angle_beta 67.49
_cell_angle_gamma 67.49
loop_
_atom_site_label
_atom_site_type_symbol
_atom_site_fract_x
_atom_site_fract_y
_atom_site_fract_z
_atom_site_occupancy
La1 La 0.0312 0.9688 0.9688 1
Dy1 Dy 0.7315 0.2685 0.2685 1
Dy2 Dy 0.4802 0.8501 0.1895 1
Dy3 Dy 0.2277 0.2723 0.2723 1
Ho1 Ho 0.4680 0.9994 0.5366 1
Ho2 Ho 0.4680 0.5366 0.9994 1
Ho3 Ho 0.9961 0.9994 0.5366 1
Dy4 Dy 0.9807 0.6896 0.3490 1
Ho4 Ho 0.9961 0.5366 0.9994 1
Ho5 Ho 0.7357 0.7643 0.7643 1
Dy5 Dy 0.9807 0.3490 0.6896 1
Dy6 Dy 0.4240 0.5760 0.5760 1
Dy7 Dy 0.4802 0.1895 0.8501 1
```

The value obtained for the formation enthalpy at 0 K is 0.245 eV/atom. The calculation puts the magnetization at 0.000 μB per atom. Its space-group type is Imm2 (44). The density of states at the Fermi level is 24.6 states/eV per cell. For the theoretical density, the calculation gives 8.12 Mg/m³.